A plane-wave DFT calculation with PBE-GGA was carried out for crystalline Hf2NbNi9 at its relaxed geometry.

Lattice parameters (Å, degrees): 3.715 3.715 11.170 90.00 90.00 90.00
Space group P4/mmm (No. 123)
One atom of each set of equivalent atoms:
Hf  0.000  0.000  0.168
Nb  0.000  0.000  0.500
Ni  0.000  0.500  0.000
Ni  0.000  0.500  0.337
Ni  0.500  0.500  0.169
Ni  0.500  0.500  0.500

Summary:
Magnetization: 0.0 μB/cell
Theoretical density: 10.54 g/cm3
Energy: -7.21 eV per atom

---

A plane-wave DFT calculation with PBE-GGA was carried out for crystalline HfNbNi at its relaxed geometry.

Lattice parameters (Å, degrees): 5.206 8.671 17.896 90.00 90.00 90.00
Space group Fddd (No. 70, origin choice 2)
One atom of each set of equivalent atoms:
Hf  0.125  0.296  0.125
Nb  0.125  0.125  0.546
Ni  0.125  0.125  0.001

Summary:
Distance to the lowest polymorph of the same formula: 0.00 kcal/mol of atoms
Magnetization: 0.0 μB/cell
Theoretical density: 10.86 g/cm3
Energy: -8.85 eV per atom

---

A plane-wave DFT calculation with PBE-GGA was carried out for crystalline HfNbNi2 at its relaxed geometry.

Lattice parameters (Å, degrees): 6.909 6.909 5.403 90.00 90.00 90.00
Space group I-42d (No. 122)
One atom of each set of equivalent atoms:
Hf  0.000  0.000  0.000
Nb  0.000  0.000  0.500
Ni  0.241  0.250  0.625

Summary:
Distance to the lowest polymorph of the same formula: 8.54 kcal/mol of atoms
Magnetization: 0.0 μB/cell
Theoretical density: 10.01 g/cm3
Energy: -7.76 eV per atom

---

A plane-wave DFT calculation with PBE-GGA was carried out for crystalline HfNb2Ni at its relaxed geometry.

Lattice parameters (Å, degrees): 6.481 6.481 6.481 90.00 90.00 90.00
Space group Fm-3m (No. 225)
One atom of each set of equivalent atoms:
Hf  0.000  0.000  0.000
Nb  0.250  0.250  0.250
Ni  0.000  0.000  0.500

Summary:
Distance to the lowest polymorph of the same formula: 0.00 kcal/mol of atoms
Magnetization: 0.0 μB/cell
Theoretical density: 10.32 g/cm3
Energy: -8.84 eV per atom

---

A plane-wave DFT calculation with PBE-GGA was carried out for crystalline Hf2NbNi at its relaxed geometry.

Lattice parameters (Å, degrees): 4.597 4.597 3.410 90.00 90.00 90.00
Space group P4/mmm (No. 123)
One atom of each set of equivalent atoms:
Hf  0.000  0.500  0.000
Nb  0.000  0.000  0.500
Ni  0.500  0.500  0.500

Summary:
Distance to the lowest polymorph of the same formula: 2.09 kcal/mol of atoms
Magnetization: 0.0 μB/cell
Theoretical density: 11.72 g/cm3
Energy: -9.04 eV per atom

---

A plane-wave DFT calculation with PBE-GGA was carried out for crystalline HfNbNi2 at its relaxed geometry.

Lattice parameters (Å, degrees): 6.264 6.264 6.264 90.00 90.00 90.00
Space group Fm-3m (No. 225)
One atom of each set of equivalent atoms:
Hf  0.000  0.000  0.000
Nb  0.000  0.000  0.500
Ni  0.250  0.250  0.250

Summary:
Distance to the lowest polymorph of the same formula: 0.37 kcal/mol of atoms
Magnetization: 0.0 μB/cell
Theoretical density: 10.51 g/cm3
Energy: -8.11 eV per atom

---

> Which value of magnetization does entry 4 give?

0.0 μB/cell

---

> theoretical density of number 6 (HfNbNi2)?

10.51 g/cm3